No. 1
Compound: CsAcMnO4
Source: Alexandria via LeMat-Bulk
Functional: PBE+U
Structure: relaxed

Lattice parameters (Å, degrees): 6.6884 6.6884 7.4670 90.00 90.00 114.37
Closest atoms and distances in Å follow each position.
Sites, in units of the cell vectors:
O 0.8062 0.8350 0.7500  1 Mn 1.82
O 0.2287 0.7713 0.4396  1 Mn 1.81
Ac 0.8395 0.1605 0.2500  4 O 2.36-2.44
O 0.7713 0.2287 0.9396  1 Mn 1.81
Ac 0.1605 0.8395 0.7500  4 O 2.36-2.44
Cs 0.5000 0.5000 0.5000  6 O 2.99-3.08
O 0.1650 0.1938 0.7500  1 Mn 1.82
Mn 0.8718 0.1282 0.7500  4 O 1.81-1.82
Cs 0.5000 0.5000 0.0000  6 O 2.99-3.08
O 0.8350 0.8062 0.2500  1 Mn 1.82
Mn 0.1282 0.8718 0.2500  4 O 1.81-1.82
O 0.1938 0.1650 0.2500  1 Mn 1.82
O 0.2287 0.7713 0.0604  1 Mn 1.81
O 0.7713 0.2287 0.5604  1 Mn 1.81

* final energy: -91.2 eV per cell
* SG: Cmcm (63)

---

No. 2
Compound: Cs2AcMnO4
Source: Alexandria via LeMat-Bulk
Functional: PBE+U
Structure: relaxed

Lattice parameters (Å, degrees): 6.4504 7.8998 7.6411 90.00 90.00 90.00
Closest atoms and distances in Å follow each position.
Sites, in units of the cell vectors:
O 0.9496 0.2605 0.7669  1 Mn 1.95
O 0.8023 0.8412 0.5000  1 Mn 1.94
Cs 0.9833 0.6519 0.7610  1 O 2.75
O 0.4496 0.7395 0.7331  1 Mn 1.95
Ac 0.4893 0.9011 0.0000  4 O 2.32-2.42
O 0.3409 0.0358 0.5000  1 Mn 1.93
Mn 0.5016 0.8290 0.5000  4 O 1.93-1.95
O 0.3023 0.1588 0.0000  1 Mn 1.94
O 0.4496 0.7395 0.2669  1 Mn 1.95
Cs 0.4833 0.3481 0.2610  1 O 2.75
Ac 0.9893 0.0989 0.5000  4 O 2.32-2.42
Cs 0.9833 0.6519 0.2390  1 O 2.75
O 0.9496 0.2605 0.2331  1 Mn 1.95
O 0.8409 0.9642 0.0000  1 Mn 1.93
Cs 0.4833 0.3481 0.7390  1 O 2.75
Mn 0.0016 0.1710 0.0000  4 O 1.93-1.95

* final energy: -96.4 eV per cell
* SG: Pmn2_1 (31)

---

No. 3
Compound: CsAc2MnO5
Source: Alexandria via LeMat-Bulk
Functional: PBE+U
Structure: relaxed

Lattice parameters (Å, degrees): 6.0393 7.2450 7.2450 90.00 90.00 90.00
Closest atoms and distances in Å follow each position.
Sites, in units of the cell vectors:
O 0.7616 0.1265 0.6265  1 Mn 1.94
O 0.7616 0.8735 0.3735  1 Mn 1.94
Mn 0.0000 0.0000 0.5000  4 O 1.94
Ac 0.5000 0.3172 0.8172  8 O 2.51-2.77
Ac 0.5000 0.6828 0.1828  8 O 2.51-2.77
O 0.7616 0.3735 0.1265  1 Mn 1.94
O 0.7616 0.6265 0.8735  1 Mn 1.94
O 0.2384 0.6265 0.8735  1 Mn 1.94
Cs 0.0000 0.0000 0.0000  10 O 3.02-3.20
O 0.5000 0.0000 0.0000  4 Ac 2.65
Ac 0.5000 0.8172 0.6828  8 O 2.51-2.77
O 0.5000 0.5000 0.5000  4 Ac 2.65
Cs 0.0000 0.5000 0.5000  10 O 3.02-3.20
Mn 0.0000 0.5000 0.0000  4 O 1.94
O 0.2384 0.8735 0.3735  1 Mn 1.94
Ac 0.5000 0.1828 0.3172  8 O 2.51-2.77
O 0.2384 0.3735 0.1265  1 Mn 1.94
O 0.2384 0.1265 0.6265  1 Mn 1.94

* final energy: -127.2 eV per cell
* N(E_F): 0.00 states/eV/f.u.
* SG: P4/mbm (127)

---

No. 4
Compound: CsAc4Mn3O12
Source: Alexandria via LeMat-Bulk
Functional: PBE+U
Structure: relaxed

Lattice parameters (Å, degrees): 7.6398 7.6398 7.6398 109.47 109.47 109.47
Closest atoms and distances in Å follow each position.
Sites, in units of the cell vectors:
O 0.1502 0.4914 0.3412  1 Mn 1.93
Mn 0.0000 0.5000 0.5000  4 O 1.93
O 0.4914 0.3412 0.1502  1 Mn 1.93
O 0.6588 0.8498 0.5086  1 Mn 1.93
O 0.1910 0.3412 0.8498  1 Mn 1.93
O 0.5086 0.6588 0.8498  1 Mn 1.93
Ac 0.5000 0.5000 0.5000  6 O 2.51
O 0.3412 0.8498 0.1910  1 Mn 1.93
Ac 0.0000 0.5000 0.0000  6 O 2.51
Mn 0.5000 0.5000 0.0000  4 O 1.93
O 0.8498 0.1910 0.3412  1 Mn 1.93
Ac 0.0000 0.0000 0.5000  6 O 2.51
Mn 0.5000 0.0000 0.5000  4 O 1.93
O 0.8090 0.6588 0.1502  1 Mn 1.93
O 0.1502 0.8090 0.6588  1 Mn 1.93
Cs 0.0000 0.0000 0.0000  12 O 3.29
O 0.6588 0.1502 0.8090  1 Mn 1.93
O 0.3412 0.1502 0.4914  1 Mn 1.93
Ac 0.5000 0.0000 0.0000  6 O 2.51
O 0.8498 0.5086 0.6588  1 Mn 1.93

* final energy: -144.4 eV per cell
* N(E_F): 16.81 states/eV/f.u.
* SG: Im-3 (204)